1.
DFT (GGA-PBE) results for BaNbRh2W after structural relaxation.

Output
* raw total energy: -30.2 eV/f.u.
* symmetry: No. 123
* DOS at the Fermi energy: 8.50 states/eV/cell
* E_form: 1895 meV per atom

a = 4.718 Å, b = 4.718 Å, c = 5.486 Å
α = 90.00°, β = 90.00°, γ = 90.00°
Sites, in units of the cell vectors:
Ba 0.000 0.000 0.000
Nb 0.000 0.000 0.500
Rh 0.000 0.500 0.500
Rh 0.500 0.000 0.500
W 0.500 0.500 0.000



2.
DFT (GGA-PBE) results for Ti5In3S12 after structural relaxation.

Output
* raw total energy: -115.2 eV/f.u.
* symmetry: No. 230
* raw formation energy: -0.897 eV/atom
* DOS at the Fermi energy: 25.11 states/eV/cell

a = 13.293 Å, b = 13.293 Å, c = 13.293 Å
α = 109.47°, β = 109.47°, γ = 109.47°
Sites, in units of the cell vectors:
Ti 0.000 0.000 0.000
Ti 0.000 0.000 0.500
Ti 0.000 0.500 0.000
Ti 0.000 0.500 0.500
Ti 0.125 0.750 0.875
Ti 0.125 0.875 0.250
Ti 0.250 0.125 0.875
Ti 0.250 0.625 0.375
Ti 0.375 0.250 0.625
Ti 0.375 0.625 0.750
Ti 0.500 0.000 0.000
Ti 0.500 0.000 0.500
Ti 0.500 0.500 0.000
Ti 0.500 0.500 0.500
Ti 0.625 0.375 0.250
Ti 0.625 0.750 0.375
Ti 0.750 0.375 0.625
Ti 0.750 0.875 0.125
Ti 0.875 0.125 0.750
Ti 0.875 0.250 0.125
In 0.125 0.250 0.375
In 0.125 0.375 0.750
In 0.250 0.375 0.125
In 0.250 0.875 0.625
In 0.375 0.125 0.250
In 0.375 0.750 0.125
In 0.625 0.250 0.875
In 0.625 0.875 0.750
In 0.750 0.125 0.375
In 0.750 0.625 0.875
In 0.875 0.625 0.250
In 0.875 0.750 0.625
S 0.021 0.201 0.114
S 0.021 0.321 0.907
S 0.087 0.701 0.679
S 0.087 0.886 0.407
S 0.093 0.614 0.413
S 0.093 0.979 0.679
S 0.114 0.021 0.201
S 0.114 0.593 0.913
S 0.179 0.201 0.587
S 0.179 0.479 0.593
S 0.201 0.114 0.021
S 0.201 0.587 0.179
S 0.299 0.321 0.913
S 0.299 0.479 0.386
S 0.321 0.907 0.021
S 0.321 0.913 0.299
S 0.386 0.299 0.479
S 0.386 0.587 0.907
S 0.407 0.087 0.886
S 0.407 0.821 0.521
S 0.413 0.093 0.614
S 0.413 0.821 0.799
S 0.479 0.386 0.299
S 0.479 0.593 0.179
S 0.521 0.407 0.821
S 0.521 0.614 0.701
S 0.587 0.179 0.201
S 0.587 0.907 0.386
S 0.593 0.179 0.479
S 0.593 0.913 0.114
S 0.614 0.413 0.093
S 0.614 0.701 0.521
S 0.679 0.087 0.701
S 0.679 0.093 0.979
S 0.701 0.521 0.614
S 0.701 0.679 0.087
S 0.799 0.413 0.821
S 0.799 0.886 0.979
S 0.821 0.521 0.407
S 0.821 0.799 0.413
S 0.886 0.407 0.087
S 0.886 0.979 0.799
S 0.907 0.021 0.321
S 0.907 0.386 0.587
S 0.913 0.114 0.593
S 0.913 0.299 0.321
S 0.979 0.679 0.093
S 0.979 0.799 0.886



3.
DFT (GGA-PBE) results for Hg2BCS after structural relaxation.

Output
* raw total energy: -11.5 eV/f.u.
* symmetry: No. 123
* raw formation energy: 1.821 eV/atom
* DOS at the Fermi energy: 3.91 states/eV/cell

a = 4.955 Å, b = 4.955 Å, c = 3.877 Å
α = 90.00°, β = 90.00°, γ = 90.00°
Sites, in units of the cell vectors:
Hg 0.000 0.500 0.000
Hg 0.500 0.000 0.000
B 0.000 0.000 0.000
C 0.500 0.500 0.500
S 0.000 0.000 0.500



4.
DFT (GGA-PBE) results for Sr5As3H after structural relaxation.

Output
* raw total energy: -35.3 eV/f.u.
* symmetry: No. 193

a = 8.997 Å, b = 8.997 Å, c = 7.147 Å
α = 90.00°, β = 90.00°, γ = 120.00°
Sites, in units of the cell vectors:
Sr 0.000 0.248 0.250
Sr 0.000 0.752 0.750
Sr 0.248 0.000 0.250
Sr 0.248 0.248 0.750
Sr 0.333 0.667 0.000
Sr 0.333 0.667 0.500
Sr 0.667 0.333 0.000
Sr 0.667 0.333 0.500
Sr 0.752 0.000 0.750
Sr 0.752 0.752 0.250
As 0.000 0.392 0.750
As 0.000 0.608 0.250
As 0.392 0.000 0.750
As 0.392 0.392 0.250
As 0.608 0.000 0.250
As 0.608 0.608 0.750
H 0.000 0.000 0.000
H 0.000 0.000 0.500



5.
DFT (GGA-PBE) results for Ca6Ag2SN after structural relaxation.

Output
* raw total energy: -37.4 eV/f.u.
* symmetry: No. 14
* raw formation energy: -0.723 eV/atom
* DOS at the Fermi energy: 17.02 states/eV/cell

a = 7.104 Å, b = 7.322 Å, c = 12.402 Å
α = 90.00°, β = 124.78°, γ = 90.00°
Sites, in units of the cell vectors:
Ca 0.160 0.014 0.233
Ca 0.160 0.486 0.733
Ca 0.225 0.723 0.038
Ca 0.225 0.777 0.538
Ca 0.317 0.190 0.038
Ca 0.317 0.310 0.538
Ca 0.683 0.690 0.462
Ca 0.683 0.810 0.962
Ca 0.775 0.223 0.462
Ca 0.775 0.277 0.962
Ca 0.840 0.514 0.267
Ca 0.840 0.986 0.767
Ag 0.266 0.051 0.749
Ag 0.266 0.449 0.249
Ag 0.734 0.551 0.751
Ag 0.734 0.949 0.251
S 0.500 0.000 0.500
S 0.500 0.500 0.000
N 0.000 0.000 0.000
N 0.000 0.500 0.500



6.
DFT (GGA-PBE) results for Dy3U2Ru4 after structural relaxation.

Output
* raw total energy: -76.9 eV/f.u.
* symmetry: No. 12
* DOS at the Fermi energy: 10.93 states/eV/cell
* E_form: -378 meV per atom

a = 5.854 Å, b = 5.854 Å, c = 8.844 Å
α = 100.34°, β = 100.34°, γ = 42.04°
Sites, in units of the cell vectors:
Dy 0.000 0.000 0.000
Dy 0.375 0.375 0.615
Dy 0.625 0.625 0.385
U 0.327 0.327 0.221
U 0.673 0.673 0.779
Ru 0.091 0.091 0.636
Ru 0.283 0.283 0.907
Ru 0.717 0.717 0.093
Ru 0.909 0.909 0.364



7.
DFT (GGA-PBE) results for KReMo4 after structural relaxation.

Output
* raw total energy: -50.4 eV/f.u.
* symmetry: No. 216
* DOS at the Fermi energy: 2.99 states/eV/cell
* E_form: 1075 meV per atom

a = 5.334 Å, b = 5.334 Å, c = 5.334 Å
α = 60.00°, β = 60.00°, γ = 60.00°
Sites, in units of the cell vectors:
K 0.000 0.000 0.000
Re 0.250 0.250 0.250
Mo 0.125 0.625 0.625
Mo 0.625 0.125 0.625
Mo 0.625 0.625 0.125
Mo 0.625 0.625 0.625



8.
DFT (GGA-PBE) results for Dy3SnPd12 after structural relaxation.

Output
* raw total energy: -92.7 eV/f.u.
* symmetry: No. 123
* DOS at the Fermi energy: 8.74 states/eV/cell
* E_form: -786 meV per atom

a = 4.111 Å, b = 4.111 Å, c = 16.341 Å
α = 90.00°, β = 90.00°, γ = 90.00°
Sites, in units of the cell vectors:
Dy 0.000 0.000 0.000
Dy 0.000 0.000 0.252
Dy 0.000 0.000 0.748
Sn 0.000 0.000 0.500
Pd 0.000 0.500 0.127
Pd 0.000 0.500 0.381
Pd 0.000 0.500 0.619
Pd 0.000 0.500 0.873
Pd 0.500 0.000 0.127
Pd 0.500 0.000 0.381
Pd 0.500 0.000 0.619
Pd 0.500 0.000 0.873
Pd 0.500 0.500 0.000
Pd 0.500 0.500 0.255
Pd 0.500 0.500 0.500
Pd 0.500 0.500 0.745



9.
DFT (GGA-PBE) results for Th6Tc2N after structural relaxation.

Output
* raw total energy: -77.4 eV/f.u.
* symmetry: No. 14
* raw formation energy: -0.427 eV/atom
* DOS at the Fermi energy: 16.97 states/eV/cell

a = 6.469 Å, b = 7.200 Å, c = 11.652 Å
α = 90.00°, β = 121.41°, γ = 90.00°
Sites, in units of the cell vectors:
Th 0.097 0.046 0.244
Th 0.097 0.454 0.744
Th 0.226 0.678 0.065
Th 0.226 0.822 0.565
Th 0.383 0.172 0.062
Th 0.383 0.328 0.562
Th 0.617 0.672 0.438
Th 0.617 0.828 0.938
Th 0.774 0.178 0.435
Th 0.774 0.322 0.935
Th 0.903 0.546 0.256
Th 0.903 0.954 0.756
Tc 0.322 0.120 0.765
Tc 0.322 0.380 0.265
Tc 0.678 0.620 0.735
Tc 0.678 0.880 0.235
N 0.000 0.000 0.000
N 0.000 0.500 0.500



10.
DFT (GGA-PBE) results for NaFeNiN after structural relaxation.

Output
* raw total energy: -23.4 eV/f.u.
* symmetry: No. 129
* raw formation energy: 0.113 eV/atom
* DOS at the Fermi energy: 7.99 states/eV/cell

a = 3.311 Å, b = 3.311 Å, c = 10.263 Å
α = 90.00°, β = 90.00°, γ = 90.00°
Sites, in units of the cell vectors:
Na 0.250 0.250 0.245
Na 0.750 0.750 0.755
Fe 0.250 0.750 0.500
Fe 0.750 0.250 0.500
Ni 0.250 0.750 0.000
Ni 0.750 0.250 0.000
N 0.250 0.250 0.590
N 0.750 0.750 0.410



11.
DFT (GGA-PBE) results for AcY8Ho2 after structural relaxation.

Output
* raw total energy: -63.1 eV/f.u.
* excess energy over the best structure of this formula in the dataset: 52.1 meV per atom
* symmetry: No. 12
* DOS at the Fermi energy: 19.78 states/eV/cell
* E_form: 174 meV per atom

a = 8.549 Å, b = 8.549 Å, c = 5.375 Å
α = 93.55°, β = 93.55°, γ = 76.16°
Sites, in units of the cell vectors:
Ac 0.000 0.000 0.000
Y 0.015 0.358 0.726
Y 0.271 0.601 0.748
Y 0.358 0.015 0.726
Y 0.399 0.729 0.252
Y 0.601 0.271 0.748
Y 0.642 0.985 0.274
Y 0.729 0.399 0.252
Y 0.985 0.642 0.274
Ho 0.315 0.315 0.233
Ho 0.685 0.685 0.767



12.
DFT (GGA-PBE) results for Pm8GaCo3Br4 after structural relaxation.

Output
* raw total energy: -80.8 eV/f.u.
* symmetry: No. 166
* raw formation energy: -0.734 eV/atom
* DOS at the Fermi energy: 12.75 states/eV/cell

a = 9.005 Å, b = 9.005 Å, c = 9.005 Å
α = 53.63°, β = 53.63°, γ = 53.63°
Sites, in units of the cell vectors:
Pm 0.213 0.742 0.742
Pm 0.232 0.232 0.232
Pm 0.258 0.258 0.787
Pm 0.258 0.787 0.258
Pm 0.742 0.213 0.742
Pm 0.742 0.742 0.213
Pm 0.768 0.768 0.768
Pm 0.787 0.258 0.258
Ga 0.500 0.500 0.500
Co 0.000 0.000 0.500
Co 0.000 0.500 0.000
Co 0.500 0.000 0.000
Br 0.000 0.000 0.000
Br 0.000 0.500 0.500
Br 0.500 0.000 0.500
Br 0.500 0.500 0.000



Please write out number 2 again, unchanged.
DFT (GGA-PBE) results for Ti5In3S12 after structural relaxation.

Output
* raw total energy: -115.2 eV/f.u.
* symmetry: No. 230
* raw formation energy: -0.897 eV/atom
* DOS at the Fermi energy: 25.11 states/eV/cell

a = 13.293 Å, b = 13.293 Å, c = 13.293 Å
α = 109.47°, β = 109.47°, γ = 109.47°
Sites, in units of the cell vectors:
Ti 0.000 0.000 0.000
Ti 0.000 0.000 0.500
Ti 0.000 0.500 0.000
Ti 0.000 0.500 0.500
Ti 0.125 0.750 0.875
Ti 0.125 0.875 0.250
Ti 0.250 0.125 0.875
Ti 0.250 0.625 0.375
Ti 0.375 0.250 0.625
Ti 0.375 0.625 0.750
Ti 0.500 0.000 0.000
Ti 0.500 0.000 0.500
Ti 0.500 0.500 0.000
Ti 0.500 0.500 0.500
Ti 0.625 0.375 0.250
Ti 0.625 0.750 0.375
Ti 0.750 0.375 0.625
Ti 0.750 0.875 0.125
Ti 0.875 0.125 0.750
Ti 0.875 0.250 0.125
In 0.125 0.250 0.375
In 0.125 0.375 0.750
In 0.250 0.375 0.125
In 0.250 0.875 0.625
In 0.375 0.125 0.250
In 0.375 0.750 0.125
In 0.625 0.250 0.875
In 0.625 0.875 0.750
In 0.750 0.125 0.375
In 0.750 0.625 0.875
In 0.875 0.625 0.250
In 0.875 0.750 0.625
S 0.021 0.201 0.114
S 0.021 0.321 0.907
S 0.087 0.701 0.679
S 0.087 0.886 0.407
S 0.093 0.614 0.413
S 0.093 0.979 0.679
S 0.114 0.021 0.201
S 0.114 0.593 0.913
S 0.179 0.201 0.587
S 0.179 0.479 0.593
S 0.201 0.114 0.021
S 0.201 0.587 0.179
S 0.299 0.321 0.913
S 0.299 0.479 0.386
S 0.321 0.907 0.021
S 0.321 0.913 0.299
S 0.386 0.299 0.479
S 0.386 0.587 0.907
S 0.407 0.087 0.886
S 0.407 0.821 0.521
S 0.413 0.093 0.614
S 0.413 0.821 0.799
S 0.479 0.386 0.299
S 0.479 0.593 0.179
S 0.521 0.407 0.821
S 0.521 0.614 0.701
S 0.587 0.179 0.201
S 0.587 0.907 0.386
S 0.593 0.179 0.479
S 0.593 0.913 0.114
S 0.614 0.413 0.093
S 0.614 0.701 0.521
S 0.679 0.087 0.701
S 0.679 0.093 0.979
S 0.701 0.521 0.614
S 0.701 0.679 0.087
S 0.799 0.413 0.821
S 0.799 0.886 0.979
S 0.821 0.521 0.407
S 0.821 0.799 0.413
S 0.886 0.407 0.087
S 0.886 0.979 0.799
S 0.907 0.021 0.321
S 0.907 0.386 0.587
S 0.913 0.114 0.593
S 0.913 0.299 0.321
S 0.979 0.679 0.093
S 0.979 0.799 0.886



Please write out number 9 again, unchanged.
DFT (GGA-PBE) results for Th6Tc2N after structural relaxation.

Output
* raw total energy: -77.4 eV/f.u.
* symmetry: No. 14
* raw formation energy: -0.427 eV/atom
* DOS at the Fermi energy: 16.97 states/eV/cell

a = 6.469 Å, b = 7.200 Å, c = 11.652 Å
α = 90.00°, β = 121.41°, γ = 90.00°
Sites, in units of the cell vectors:
Th 0.097 0.046 0.244
Th 0.097 0.454 0.744
Th 0.226 0.678 0.065
Th 0.226 0.822 0.565
Th 0.383 0.172 0.062
Th 0.383 0.328 0.562
Th 0.617 0.672 0.438
Th 0.617 0.828 0.938
Th 0.774 0.178 0.435
Th 0.774 0.322 0.935
Th 0.903 0.546 0.256
Th 0.903 0.954 0.756
Tc 0.322 0.120 0.765
Tc 0.322 0.380 0.265
Tc 0.678 0.620 0.735
Tc 0.678 0.880 0.235
N 0.000 0.000 0.000
N 0.000 0.500 0.500



Please write out number 11 again, unchanged.
DFT (GGA-PBE) results for AcY8Ho2 after structural relaxation.

Output
* raw total energy: -63.1 eV/f.u.
* excess energy over the best structure of this formula in the dataset: 52.1 meV per atom
* symmetry: No. 12
* DOS at the Fermi energy: 19.78 states/eV/cell
* E_form: 174 meV per atom

a = 8.549 Å, b = 8.549 Å, c = 5.375 Å
α = 93.55°, β = 93.55°, γ = 76.16°
Sites, in units of the cell vectors:
Ac 0.000 0.000 0.000
Y 0.015 0.358 0.726
Y 0.271 0.601 0.748
Y 0.358 0.015 0.726
Y 0.399 0.729 0.252
Y 0.601 0.271 0.748
Y 0.642 0.985 0.274
Y 0.729 0.399 0.252
Y 0.985 0.642 0.274
Ho 0.315 0.315 0.233
Ho 0.685 0.685 0.767



Repeat the eleventh record exactly.
DFT (GGA-PBE) results for AcY8Ho2 after structural relaxation.

Output
* raw total energy: -63.1 eV/f.u.
* excess energy over the best structure of this formula in the dataset: 52.1 meV per atom
* symmetry: No. 12
* DOS at the Fermi energy: 19.78 states/eV/cell
* E_form: 174 meV per atom

a = 8.549 Å, b = 8.549 Å, c = 5.375 Å
α = 93.55°, β = 93.55°, γ = 76.16°
Sites, in units of the cell vectors:
Ac 0.000 0.000 0.000
Y 0.015 0.358 0.726
Y 0.271 0.601 0.748
Y 0.358 0.015 0.726
Y 0.399 0.729 0.252
Y 0.601 0.271 0.748
Y 0.642 0.985 0.274
Y 0.729 0.399 0.252
Y 0.985 0.642 0.274
Ho 0.315 0.315 0.233
Ho 0.685 0.685 0.767